No. 1
Here is a geometry-optimized TiCuTc2Mo structure from Alexandria via LeMat-Bulk. Energies are from PBE.

Computed properties:
- symmetry = No. 123
- crystal system = tetragonal
- uncorrected energy (eV per atom) = -7.2389

Cell: 4.643 4.643 4.673 Å, 90.00 90.00 90.00°
Sites, in units of the cell vectors:
Ti 0.000 0.000 0.000
Cu 0.500 0.500 0.000
Tc 0.000 0.500 0.500
Tc 0.500 0.000 0.500
Mo 0.000 0.000 0.500

---

No. 2
Here is a geometry-optimized TiCuTcMo structure from Alexandria via LeMat-Bulk. Energies are from PBE.

Computed properties:
- symmetry = No. 216
- crystal system = cubic
- uncorrected energy (eV per atom) = -8.3464

Cell: 6.180 6.180 6.180 Å, 90.00 90.00 90.00°
Sites, in units of the cell vectors:
Ti 0.000 0.000 0.000
Ti 0.000 0.500 0.500
Ti 0.500 0.000 0.500
Ti 0.500 0.500 0.000
Cu 0.250 0.250 0.250
Cu 0.250 0.750 0.750
Cu 0.750 0.250 0.750
Cu 0.750 0.750 0.250
Tc 0.250 0.250 0.750
Tc 0.250 0.750 0.250
Tc 0.750 0.250 0.250
Tc 0.750 0.750 0.750
Mo 0.000 0.000 0.500
Mo 0.000 0.500 0.000
Mo 0.500 0.000 0.000
Mo 0.500 0.500 0.500